Entry one
Compound: TaTeW3
Source: Alexandria
Functional: GGA-PBE
Structure: optimized geometry

Geometry as POSCAR:
```
TaTeW3
1.0
-1.6434 4.0321 -2.0235
-0.7691 -2.3725 -4.1028
-4.4453 -1.0802 1.4579
Te W Ta
1 3 1
Direct
0.0000 0.0000 0.0000 Te
0.0000 0.5000 0.0000 W
0.0000 0.0000 0.5000 W
0.5000 0.0000 0.0000 W
0.5000 0.5000 0.5000 Ta
```

Calculated values
M_tot   0.00 μB/f.u.
Fermi-level density of states   10.20 states/eV/f.u.
ρ   12903 kg/m3

---

Entry two
Compound: TaTeW3
Source: Alexandria
Functional: GGA-PBE
Structure: optimized geometry

Geometry as POSCAR:
```
TaTeW3
1.0
4.8607 0.0000 0.0000
0.0000 4.8607 0.0000
0.0000 0.0000 4.8607
Te W Ta
1 3 1
Direct
0.5000 0.5000 0.5000 Te
0.0000 0.5000 0.0000 W
0.0000 0.0000 0.5000 W
0.5000 0.0000 0.0000 W
0.0000 0.0000 0.0000 Ta
```

Calculated values
M_tot   0.00 μB/f.u.
Fermi-level density of states   8.12 states/eV/f.u.
ρ   12436 kg/m3

---

In meV/atom, relative to the most stable structure: entry one 213; entry two 0.